Record 1
VASP calculation (PBE-GGA) on an optimized crystal structure of RbVInGa2.

The structure in POSCAR format:
```
RbVInGa2
1.0
5.515 0.000 0.000
0.000 5.477 0.000
0.000 0.000 5.515
V In Ga Rb
1 1 2 1
Direct
0.000 0.500 0.000
0.000 0.000 0.000
0.000 0.000 0.500
0.500 0.000 0.000
0.500 0.500 0.500
```

Its total magnetization is 3.83 μB per formula unit. As for the space group: P4/mmm. The value obtained for the density of states at the Fermi level is 5.24 states/eV/f.u. The value obtained for the total energy is -3.0431 eV per atom.

---

Record 2
VASP calculation (PBE-GGA) on an optimized crystal structure of InGaRe3.

The structure in POSCAR format:
```
InGaRe3
1.0
4.567 0.000 0.000
0.000 4.567 0.000
0.000 0.000 4.567
In Re Ga
1 3 1
Direct
0.500 0.500 0.500
0.000 0.000 0.500
0.000 0.500 0.000
0.500 0.000 0.000
0.000 0.000 0.000
```

Its total magnetization is 0.11 μB per formula unit. The energy above the most stable polymorph in this dataset is 0.000 eV/atom. As for the space group: Pm-3m. The value obtained for the density of states at the Fermi level is 6.86 states/eV/f.u. The value obtained for the total energy is -6.8373 eV per atom.

---

Record 3
VASP calculation (PBE-GGA) on an optimized crystal structure of InGaRe3.

The structure in POSCAR format:
```
InGaRe3
1.0
4.859 0.000 0.000
0.000 4.859 0.000
0.000 0.000 4.859
In Re Ga
1 3 1
Direct
0.000 0.000 0.000
0.000 0.500 0.000
0.500 0.000 0.000
0.000 0.000 0.500
0.500 0.500 0.500
```

Its total magnetization is 3.66 μB per formula unit. The energy above the most stable polymorph in this dataset is 1.193 eV/atom. As for the space group: Pm-3m. The value obtained for the density of states at the Fermi level is 5.78 states/eV/f.u. The value obtained for the total energy is -5.6441 eV per atom.

---

Record 4
VASP calculation (PBE-GGA) on an optimized crystal structure of InGa2ReSb.

The structure in POSCAR format:
```
InGa2ReSb
1.0
4.873 0.000 0.000
0.000 5.331 0.000
0.000 0.000 4.873
In Ga Re Sb
1 2 1 1
Direct
0.000 0.500 0.000
0.000 0.000 0.500
0.500 0.000 0.000
0.000 0.000 0.000
0.500 0.500 0.500
```

Its total magnetization is 0.50 μB per formula unit. As for the space group: P4/mmm. The value obtained for the density of states at the Fermi level is 6.21 states/eV/f.u. The calculation puts the uncorrected formation energy at 0.57 eV/atom. The value obtained for the total energy is -4.5020 eV per atom.

---

Record 5
VASP calculation (PBE-GGA) on an optimized crystal structure of InGa2ReTc.

The structure in POSCAR format:
```
InGa2ReTc
1.0
4.866 0.000 0.000
0.000 5.109 0.000
0.000 0.000 4.866
In Re Tc Ga
1 1 1 2
Direct
0.000 0.000 0.000
0.500 0.500 0.500
0.000 0.500 0.000
0.500 0.000 0.000
0.000 0.000 0.500
```

Its total magnetization is 5.61 μB per formula unit. As for the space group: P4/mmm. The value obtained for the density of states at the Fermi level is 4.61 states/eV/f.u. The value obtained for the total energy is -4.2037 eV per atom.

---

Record 6
VASP calculation (PBE-GGA) on an optimized crystal structure of InGaReTe2.

The structure in POSCAR format:
```
InGaReTe2
1.0
5.317 0.000 0.000
0.000 5.277 0.000
0.000 0.000 5.317
Te In Re Ga
2 1 1 1
Direct
0.000 0.000 0.500
0.500 0.000 0.000
0.000 0.500 0.000
0.000 0.000 0.000
0.500 0.500 0.500
```

Its total magnetization is 0.86 μB per formula unit. As for the space group: P4/mmm. The value obtained for the density of states at the Fermi level is 5.23 states/eV/f.u. The calculation puts the uncorrected formation energy at 0.55 eV/atom. The value obtained for the total energy is -4.3458 eV per atom.

---

Record 7
VASP calculation (PBE-GGA) on an optimized crystal structure of VInGaRe2.

The structure in POSCAR format:
```
VInGaRe2
1.0
-2.962 0.675 -3.865
2.050 -3.523 -2.186
-3.263 -3.113 1.957
Re In Ga V
2 1 1 1
Direct
0.000 0.000 0.500
0.500 0.000 0.000
0.000 0.000 0.000
0.000 0.500 0.000
0.500 0.500 0.500
```

Its total magnetization is 2.80 μB per formula unit. As for the space group: P4/mmm. The value obtained for the density of states at the Fermi level is 5.45 states/eV/f.u. The value obtained for the total energy is -5.3297 eV per atom.

---

Record 8
VASP calculation (PBE-GGA) on an optimized crystal structure of YInGa2Re.

The structure in POSCAR format:
```
YInGa2Re
1.0
-0.309 -3.242 -3.753
5.159 -0.371 -0.105
-0.203 -3.748 3.255
Ga Y Re In
2 1 1 1
Direct
0.000 0.000 0.500
0.500 0.000 0.000
0.500 0.500 0.500
0.000 0.500 0.000
0.000 0.000 0.000
```

Its total magnetization is 1.59 μB per formula unit. As for the space group: P4/mmm. The value obtained for the density of states at the Fermi level is 4.18 states/eV/f.u. The value obtained for the total energy is -4.5046 eV per atom.

---

Record 9
VASP calculation (PBE-GGA) on an optimized crystal structure of InGaRh2.

The structure in POSCAR format:
```
InGaRh2
1.0
3.276 0.000 0.000
0.000 4.357 0.000
0.000 0.000 4.357
Rh In Ga
2 1 1
Direct
0.000 0.000 0.500
0.000 0.500 0.000
0.500 0.500 0.500
0.500 0.000 0.000
```

Its total magnetization is 0.00 μB per formula unit. As for the space group: P4/mmm. The value obtained for the density of states at the Fermi level is 1.41 states/eV/f.u. The value obtained for the total energy is -5.6105 eV per atom.

---

Record 10
VASP calculation (PBE-GGA) on an optimized crystal structure of InGaRh4.

The structure in POSCAR format:
```
InGaRh4
1.0
2.874 0.002 -0.010
-0.003 4.515 -0.003
0.020 0.005 7.422
Rh Ga In
4 1 1
Direct
0.502 0.997 0.779
0.501 0.997 0.217
0.001 0.497 0.682
0.002 0.497 0.314
0.002 0.997 0.498
0.501 0.497 0.998
```

Its total magnetization is 0.00 μB per formula unit. As for the space group: Pmmm. The value obtained for the density of states at the Fermi level is 8.43 states/eV/f.u. The value obtained for the total energy is -6.0001 eV per atom.

---

Record 11
VASP calculation (PBE-GGA) on an optimized crystal structure of InGaRh3.

The structure in POSCAR format:
```
InGaRh3
1.0
-2.604 -1.725 -3.299
3.703 -0.781 -2.514
0.387 -4.130 1.854
In Ga Rh
1 1 3
Direct
0.500 0.500 0.500
0.000 0.000 0.000
0.000 0.000 0.500
0.000 0.500 0.000
0.500 0.000 0.000
```

Its total magnetization is 1.00 μB per formula unit. The energy above the most stable polymorph in this dataset is 0.601 eV/atom. As for the space group: Pm-3m. The value obtained for the density of states at the Fermi level is 3.76 states/eV/f.u. The value obtained for the total energy is -5.2372 eV per atom.

---

Record 12
VASP calculation (PBE-GGA) on an optimized crystal structure of InGa2Rh2.

The structure in POSCAR format:
```
InGa2Rh2
1.0
7.309 0.000 0.000
0.000 7.309 0.000
0.000 0.000 3.023
Rh Ga In
4 4 2
Direct
0.349 0.849 0.000
0.651 0.151 0.000
0.849 0.651 0.000
0.151 0.349 0.000
0.855 0.355 0.500
0.645 0.855 0.500
0.355 0.145 0.500
0.145 0.645 0.500
0.000 0.000 0.000
0.500 0.500 0.000
```

Its total magnetization is 0.00 μB per formula unit. The energy above the most stable polymorph in this dataset is 0.000 eV/atom. As for the space group: P4/mbm. The value obtained for the density of states at the Fermi level is 1.25 states/eV/f.u. The value obtained for the total energy is -5.1879 eV per atom.